[1]
Computed, not measured: a crystal of CrMo2Pb relaxed with PBEsol at the SCAN level of DFT.

Structure (POSCAR):
```
CrMo2Pb
1.0
-1.920 4.068 -0.329
-4.087 0.421 -1.862
-3.556 1.030 2.576
Cr Pb Mo
1 1 2
direct
0.500 0.500 0.500
0.250 0.250 0.250
0.000 0.000 0.000
0.750 0.750 0.750
```

VASP energy, eV/atom: -40.464
E_form, eV per atom: 0.52

[2]
Computed, not measured: a crystal of Mg2SbOs relaxed with PBEsol at the SCAN level of DFT.

Structure (POSCAR):
```
Mg2SbOs
1.0
-3.488 -1.913 -0.441
1.079 -1.118 -3.689
2.994 -2.122 3.691
Sb Mg Os
1 2 1
direct
0.500 0.500 0.000
0.750 0.250 0.500
0.250 0.750 0.500
0.000 0.000 0.000
```

VASP energy, eV/atom: -29.718
Uncorrected formation energy, kJ/mol of atoms: 5.24

[3]
Computed, not measured: a crystal of NaIn2Ga2 relaxed with PBEsol at the SCAN level of DFT.

Structure (POSCAR):
```
NaIn2Ga2
1.0
4.404 0.000 0.000
0.000 4.404 0.000
-2.202 -2.202 6.164
Ga In Na
2 2 1
direct
0.250 0.750 0.500
0.750 0.250 0.500
0.387 0.387 0.773
0.613 0.613 0.227
0.000 0.000 0.000
```

VASP energy, eV/atom: -20.873
E_form, eV per atom: -0.14

[4]
Computed, not measured: a crystal of SbH36S4N11 relaxed with PBEsol at the SCAN level of DFT.

Structure (POSCAR):
```
SbH36S4N11
1.0
8.441 -0.147 0.000
-1.779 9.263 0.000
0.000 0.000 12.646
N H S Sb
22 72 8 2
direct
0.840 0.714 0.724
0.440 0.634 0.207
0.793 0.724 0.362
0.160 0.286 0.224
0.179 0.941 0.141
0.151 0.057 0.713
0.929 0.853 0.920
0.427 0.891 0.329
0.849 0.943 0.213
0.201 0.570 0.045
0.560 0.366 0.707
0.933 0.478 0.813
0.067 0.522 0.313
0.600 0.896 0.055
0.573 0.109 0.829
0.556 0.552 0.881
0.071 0.147 0.420
0.400 0.104 0.555
0.821 0.059 0.641
0.207 0.276 0.862
0.444 0.448 0.381
0.799 0.430 0.545
0.021 0.578 0.254
0.144 0.390 0.254
0.953 0.152 0.402
0.573 0.445 0.770
0.504 0.081 0.587
0.110 0.224 0.478
0.143 0.215 0.290
0.757 0.107 0.695
0.344 0.010 0.517
0.656 0.990 0.017
0.238 0.089 0.652
0.502 0.482 0.939
0.171 0.958 0.741
0.226 0.364 0.811
0.801 0.536 0.524
0.434 0.183 0.499
0.305 0.284 0.912
0.498 0.518 0.439
0.770 0.372 0.476
0.199 0.464 0.024
0.774 0.636 0.311
0.685 0.102 0.860
0.315 0.898 0.360
0.515 0.145 0.892
0.449 0.366 0.671
0.081 0.573 0.063
0.258 0.033 0.115
0.742 0.967 0.615
0.439 0.736 0.242
0.031 0.048 0.685
0.156 0.872 0.078
0.661 0.608 0.915
0.485 0.855 0.392
0.339 0.392 0.415
0.727 0.710 0.688
0.518 0.376 0.364
0.047 0.848 0.902
0.695 0.716 0.412
0.566 0.817 0.999
0.511 0.004 0.813
0.919 0.427 0.563
0.928 0.749 0.666
0.230 0.628 0.976
0.654 0.391 0.648
0.489 0.996 0.313
0.890 0.776 0.978
0.893 0.719 0.408
0.427 0.555 0.270
0.482 0.624 0.864
0.243 0.893 0.195
0.496 0.919 0.087
0.034 0.544 0.845
0.561 0.264 0.742
0.966 0.456 0.345
0.979 0.422 0.754
0.073 0.047 0.453
0.883 0.406 0.871
0.844 0.128 0.578
0.927 0.953 0.953
0.346 0.609 0.148
0.829 0.042 0.241
0.072 0.251 0.166
0.856 0.610 0.754
0.173 0.138 0.776
0.857 0.785 0.790
0.827 0.862 0.276
0.117 0.594 0.371
0.762 0.911 0.152
0.273 0.290 0.188
0.969 0.952 0.185
0.551 0.634 0.171
0.107 0.281 0.908
0.111 0.788 0.524
0.718 0.237 0.302
0.801 0.575 0.117
0.889 0.212 0.024
0.199 0.425 0.617
0.450 0.257 0.063
0.282 0.763 0.802
0.550 0.743 0.563
0.716 0.322 0.126
0.284 0.678 0.626
```

VASP energy, eV/atom: -6.186

[5]
Computed, not measured: a crystal of ZrTl2CrAs relaxed with PBEsol at the SCAN level of DFT.

Structure (POSCAR):
```
ZrTl2CrAs
1.0
4.650 0.000 0.000
0.000 5.065 0.000
0.000 0.000 5.065
Tl Cr Zr As
2 1 1 1
direct
0.000 0.500 0.000
0.000 0.000 0.500
0.000 0.000 0.000
0.500 0.000 0.000
0.500 0.500 0.500
```

VASP energy, eV/atom: -42.265
E_form, eV per atom: 0.53

[6]
Computed, not measured: a crystal of LiPICl2 relaxed with PBEsol at the SCAN level of DFT.

Structure (POSCAR):
```
LiPICl2
1.0
-0.581 0.492 4.207
-1.306 -4.060 0.295
6.148 -1.900 1.072
I P Li Cl
1 1 1 2
direct
0.500 0.500 0.500
0.000 0.000 0.500
0.000 0.000 0.000
0.500 0.000 0.000
0.000 0.500 0.000
```

VASP energy, eV/atom: -13.243
Uncorrected formation energy, kJ/mol of atoms: -14.06

[7]
Computed, not measured: a crystal of Hg2GeMoH relaxed with PBEsol at the SCAN level of DFT.

Structure (POSCAR):
```
Hg2GeMoH
1.0
-0.249 -1.333 3.105
-1.743 -4.079 -1.891
4.482 -1.736 -0.386
H Ge Hg Mo
1 1 2 1
direct
0.000 0.000 0.000
0.500 0.000 0.000
0.000 0.500 0.000
0.000 0.000 0.500
0.500 0.500 0.500
```

VASP energy, eV/atom: -37.930

[8]
Computed, not measured: a crystal of LiAlGeIr2 relaxed with PBEsol at the SCAN level of DFT.

Structure (POSCAR):
```
LiAlGeIr2
1.0
-1.464 0.524 3.649
-2.826 -3.025 -0.699
2.690 -2.857 1.490
Ir Ge Li Al
2 1 1 1
direct
0.000 0.500 0.000
0.000 0.000 0.500
0.500 0.000 0.000
0.000 0.000 0.000
0.500 0.500 0.500
```

VASP energy, eV/atom: -33.813
E_form, eV per atom: 0.47

[9]
Computed, not measured: a crystal of AlTlRh relaxed with PBEsol at the SCAN level of DFT.

Structure (POSCAR):
```
AlTlRh
1.0
3.102 0.000 0.000
-1.551 2.687 0.000
0.000 0.000 6.452
Rh Al Tl
1 1 1
direct
0.667 0.333 0.695
0.000 0.000 0.954
0.333 0.667 0.350
```

VASP energy, eV/atom: -38.139
E_form, eV per atom: -0.18
E above lowest polymorph, eV per atom: 0.1310

[10]
Computed, not measured: a crystal of AlSiTe2 relaxed with PBEsol at the SCAN level of DFT.

Structure (POSCAR):
```
AlSiTe2
1.0
3.889 0.000 0.000
0.000 3.889 0.000
-1.945 -1.945 6.832
Te Si Al
2 1 1
direct
0.000 0.000 0.000
0.750 0.250 0.500
0.250 0.750 0.500
0.500 0.500 0.000
```

VASP energy, eV/atom: -22.631
Uncorrected formation energy, kJ/mol of atoms: 42.11
E above lowest polymorph, eV per atom: 0.1372

[11]
Computed, not measured: a crystal of Bi10Te2I4O17 relaxed with PBEsol at the SCAN level of DFT.

Structure (POSCAR):
```
Bi10Te2I4O17
1.0
7.899 0.000 0.000
0.000 7.897 0.000
-3.949 0.000 9.597
Bi O Te I
10 17 2 4
direct
0.491 0.245 0.491
0.100 0.500 0.201
0.001 0.755 0.491
0.369 0.000 0.738
0.873 0.500 0.746
0.491 0.755 0.491
0.001 0.245 0.491
0.879 0.000 0.759
0.600 0.000 0.201
0.379 0.500 0.759
0.660 0.265 0.320
0.817 0.751 0.634
0.160 0.737 0.320
0.236 0.000 0.473
0.897 0.000 0.320
0.581 0.000 0.640
0.566 0.500 0.634
0.320 0.739 0.640
0.817 0.249 0.634
0.160 0.263 0.320
0.068 0.500 0.634
0.059 0.000 0.640
0.425 0.500 0.320
0.320 0.261 0.640
0.423 0.000 0.320
0.660 0.735 0.320
0.895 0.500 0.320
0.137 0.000 0.274
0.618 0.500 0.236
0.239 0.752 0.979
0.740 0.752 0.979
0.239 0.248 0.979
0.740 0.248 0.979
```

VASP energy, eV/atom: -34.783
Uncorrected formation energy, kJ/mol of atoms: -101.28

[12]
Computed, not measured: a crystal of ScReTeN2 relaxed with PBEsol at the SCAN level of DFT.

Structure (POSCAR):
```
ScReTeN2
1.0
4.008 0.000 0.000
0.000 4.008 0.000
0.000 0.000 5.817
Te N Re Sc
1 2 1 1
direct
0.000 0.000 0.500
0.500 0.000 0.000
0.000 0.500 0.000
0.500 0.500 0.500
0.000 0.000 0.000
```

VASP energy, eV/atom: -26.855
Uncorrected formation energy, kJ/mol of atoms: 132.97